Record 1
DFT (PBE-GGA) results for crystalline Ca5P2 at its relaxed geometry.

Lattice parameters (Å, degrees): 15.9088 6.7166 7.6158 90.00 96.00 90.00
Last column: nearest neighbours and their distance in Å.
Space group C2/c (No. 15)
Unique sites:
Ca 0.0000 0.0853 0.2500 [4 per cell]  4 P 2.92-3.01
Ca 0.0910 0.4026 0.9141 [8 per cell]  2 P 2.89-2.98
Ca 0.2165 0.0710 0.3212 [8 per cell]  3 P 2.92-3.23
P 0.1068 0.1981 0.5847 [8 per cell]  7 Ca 2.89-3.23

Calculated formation energy (meV per atom): -743.8

***

Record 2
DFT (PBE-GGA) results for crystalline NdTh2Ni2 at its relaxed geometry.

Lattice parameters (Å, degrees): 7.9493 7.9493 3.7277 90.00 90.00 90.00
Last column: nearest neighbours and their distance in Å.
Space group P4/mbm (No. 127)
Unique sites:
Nd 0.0000 0.0000 0.0000 [2 per cell]  4 Ni 3.17, 8 Th 3.51
Th 0.1628 0.3372 0.5000 [4 per cell]  6 Ni 2.94-3.08
Ni 0.1193 0.6193 0.0000 [4 per cell]  1 Ni 2.68, 4 Th 2.94

Calculated formation energy (meV per atom): -277.8

***

Record 3
DFT (PBE-GGA) results for crystalline SmMg4Cu at its relaxed geometry.

Lattice parameters (Å, degrees): 8.5386 4.2986 7.4040 90.00 90.00 90.00
Last column: nearest neighbours and their distance in Å.
Space group Pmma (No. 51)
Unique sites:
Sm 0.2500 0.0000 0.0987 [2 per cell]  1 Cu 2.93
Mg 0.0000 0.0000 0.5000 [2 per cell]  2 Cu 2.61
Mg 0.0619 0.5000 0.8048 [4 per cell]  2 Cu 2.79, 2 Mg 3.08-3.10
Mg 0.2500 0.5000 0.4461 [2 per cell]  2 Cu 2.87, 6 Mg 3.06-3.10
Cu 0.2500 0.0000 0.7029 [2 per cell]  8 Mg 2.61-2.87

Calculated formation energy (meV per atom): -120.0

***

Record 4
DFT (PBE-GGA) results for crystalline PuTlZnPt at its relaxed geometry.

Lattice parameters (Å, degrees): 6.9558 6.9558 6.9558 90.00 90.00 90.00
Last column: nearest neighbours and their distance in Å.
Space group F-43m (No. 216)
Unique sites:
Pu 0.0000 0.0000 0.0000 [4 per cell]  4 Pt 3.01, 4 Zn 3.01
Tl 0.0000 0.0000 0.5000 [4 per cell]  4 Pt 3.01, 4 Zn 3.01
Zn 0.2500 0.2500 0.7500 [4 per cell]  4 Tl 3.01, 4 Pu 3.01
Pt 0.2500 0.2500 0.2500 [4 per cell]  4 Tl 3.01, 4 Pu 3.01

Calculated formation energy (meV per atom): -242.5

***

Record 5
DFT (PBE-GGA) results for crystalline ErInAgSn at its relaxed geometry.

Lattice parameters (Å, degrees): 4.4057 4.4257 4.7620 90.00 90.00 90.00
Last column: nearest neighbours and their distance in Å.
Space group Pmmm (No. 47)
Unique sites:
Er 0.0000 0.0000 0.0000 [1 per cell]  4 Sn 3.12, 4 Ag 3.24, 4 In 3.25
In 0.0000 0.5000 0.5000 [1 per cell]  4 Ag 3.12, 4 Sn 3.24, 4 Er 3.25
Ag 0.5000 0.0000 0.5000 [1 per cell]  4 In 3.12, 4 Er 3.24, 4 Sn 3.25
Sn 0.5000 0.5000 0.0000 [1 per cell]  4 Er 3.12, 4 In 3.24, 4 Ag 3.25

Calculated formation energy (meV per atom): -391.7
Excess energy over the best structure of this formula in the dataset (meV/atom): 0

***

Record 6
DFT (PBE-GGA) results for crystalline PmSnIO2 at its relaxed geometry.

Lattice parameters (Å, degrees): 7.4820 4.1004 8.2679 90.00 106.25 90.00
Last column: nearest neighbours and their distance in Å.
Space group P2_1/m (No. 11)
Unique sites:
Pm 0.1508 0.2500 0.4076 [2 per cell]  4 O 2.31-2.35
Sn 0.1549 0.2500 0.9242 [2 per cell]  4 O 2.24-2.47
I 0.4493 0.7500 0.2809 [2 per cell]  3 Pm 3.36-3.41, 1 O 3.65, 2 Sn 3.76
O 0.0022 0.2500 0.1214 [2 per cell]  3 Sn 2.24-2.34, 1 Pm 2.32
O 0.0040 0.7500 0.3812 [2 per cell]  3 Pm 2.31-2.35, 1 Sn 2.47

Formation energy (no corrections) (eV per atom): -2.08

***

Record 7
DFT (PBE-GGA) results for crystalline Tb2Sm2S3 at its relaxed geometry.

Lattice parameters (Å, degrees): 13.0052 3.9109 6.8401 90.00 99.83 90.00
Last column: nearest neighbours and their distance in Å.
Space group C2/m (No. 12)
Unique sites:
Tb 0.1271 0.0000 0.3810 [4 per cell]  5 S 2.71-2.77
Sm 0.1255 0.5000 0.8786 [4 per cell]  4 S 2.79-2.82
S 0.0000 0.5000 0.5000 [2 per cell]  4 Tb 2.77, 2 Sm 2.82
S 0.2498 0.0000 0.7434 [4 per cell]  3 Tb 2.71-2.75, 3 Sm 2.79-2.81

Formation energy (no corrections) (eV per atom): -1.73

***

Record 8
DFT (PBE-GGA) results for crystalline LiBe2Ag at its relaxed geometry.

Lattice parameters (Å, degrees): 3.2655 3.7681 3.8104 90.00 90.00 90.00
Last column: nearest neighbours and their distance in Å.
Space group Pmmm (No. 47)
Unique sites:
Li 0.0000 0.0000 0.0000 [1 per cell]  4 Ag 2.49, 8 Be 2.51-2.68
Be 0.0000 0.5000 0.5000 [1 per cell]  4 Be 2.49, 4 Ag 2.51, 4 Li 2.68
Be 0.5000 0.0000 0.5000 [1 per cell]  4 Be 2.49, 4 Li 2.51, 4 Ag 2.68
Ag 0.5000 0.5000 0.0000 [1 per cell]  4 Li 2.49, 8 Be 2.51-2.68

Calculated formation energy (meV per atom): 173.1
Excess energy over the best structure of this formula in the dataset (meV/atom): 74

***

Record 9
DFT (PBE-GGA) results for crystalline TiMn2Co4 at its relaxed geometry.

Lattice parameters (Å, degrees): 5.7815 5.7815 5.3546 90.00 90.00 90.00
Last column: nearest neighbours and their distance in Å.
Space group I4/mmm (No. 139)
Unique sites:
Ti 0.0000 0.0000 0.0000 [2 per cell]  8 Co 2.44
Mn 0.0000 0.5000 0.0000 [4 per cell]  8 Co 2.44, 2 Mn 2.68
Co 0.2500 0.2500 0.2500 [8 per cell]  4 Mn 2.44, 2 Ti 2.44, 2 Co 2.68

Calculated formation energy (meV per atom): 171.8

***

Record 10
DFT (PBE-GGA) results for crystalline ScTa2RuPb at its relaxed geometry.

Lattice parameters (Å, degrees): 4.9904 4.9904 5.2624 90.00 90.00 90.00
Last column: nearest neighbours and their distance in Å.
Space group P4/mmm (No. 123)
Unique sites:
Sc 0.0000 0.0000 0.0000 [1 per cell]  4 Pb 3.53, 8 Ta 3.63
Ta 0.0000 0.5000 0.5000 [2 per cell]  2 Ru 2.50
Ru 0.5000 0.5000 0.5000 [1 per cell]  4 Ta 2.50, 2 Pb 2.63
Pb 0.5000 0.5000 0.0000 [1 per cell]  2 Ru 2.63

Calculated formation energy (meV per atom): 940.4

***

Record 11
DFT (PBE-GGA) results for crystalline Cd4InAu8 at its relaxed geometry.

Lattice parameters (Å, degrees): 4.0025 4.1458 15.9709 90.00 90.00 90.00
Last column: nearest neighbours and their distance in Å.
Space group Pmm2 (No. 25)
Unique sites:
Cd 0.0000 0.0000 0.0000 [1 per cell]  10 Au 2.88-3.04, 2 Cd 3.19
Cd 0.0000 0.5000 0.1518 [1 per cell]  10 Au 2.88-3.04, 2 Cd 3.19
Cd 0.5000 0.0000 0.4235 [1 per cell]  10 Au 2.89-3.01
Cd 0.5000 0.5000 0.5848 [1 per cell]  6 Au 2.90-3.15
In 0.0000 0.0000 0.7332 [1 per cell]  5 Au 2.69-2.91
Au 0.0000 0.0000 0.2857 [1 per cell]  8 Au 2.88-3.13, 4 Cd 2.97-2.98
Au 0.0000 0.0000 0.5646 [1 per cell]  1 In 2.69, 6 Cd 2.90-3.01, 2 Au 2.95
Au 0.0000 0.5000 0.4328 [1 per cell]  6 Cd 2.89-3.15, 6 Au 2.95-3.13
Au 0.0000 0.5000 0.8608 [1 per cell]  6 Au 2.88-3.09, 2 In 2.91, 2 Cd 3.04
Au 0.5000 0.0000 0.1432 [1 per cell]  6 Cd 2.88-3.04, 6 Au 2.99-3.12
Au 0.5000 0.0000 0.8611 [1 per cell]  2 In 2.86, 6 Au 2.88-3.14, 2 Cd 2.99
Au 0.5000 0.5000 0.0085 [1 per cell]  6 Cd 2.88-3.04, 6 Au 2.99-3.14
Au 0.5000 0.5000 0.2891 [1 per cell]  8 Au 2.88-3.12, 4 Cd 2.97-2.98

Calculated formation energy (meV per atom): -116.6

***

Record 12
DFT (PBE-GGA) results for crystalline TcMoC2 at its relaxed geometry.

Lattice parameters (Å, degrees): 4.6537 4.6537 9.3405 90.00 90.00 90.00
Last column: nearest neighbours and their distance in Å.
Space group I-42d (No. 122)
Unique sites:
Tc 0.0000 0.0000 0.0000 [4 per cell]  4 C 1.99
Mo 0.0000 0.0000 0.5000 [4 per cell]  4 C 2.04
C 0.2415 0.2500 0.1250 [8 per cell]  2 Tc 1.99, 2 Mo 2.04

Calculated formation energy (meV per atom): 544.4
Excess energy over the best structure of this formula in the dataset (meV/atom): 0

***

Record 13
DFT (PBE-GGA) results for crystalline In3Te4Au at its relaxed geometry.

Lattice parameters (Å, degrees): 6.7607 6.7607 13.5096 90.00 90.00 90.00
Last column: nearest neighbours and their distance in Å.
Space group I-42m (No. 121)
Unique sites:
In 0.0000 0.0000 0.0000 [2 per cell]  4 Te 3.02
In 0.0000 0.5000 0.2500 [4 per cell]  4 Te 2.95
Te 0.2359 0.2359 0.3777 [8 per cell]  1 Au 2.80, 3 In 2.95-3.02
Au 0.0000 0.0000 0.5000 [2 per cell]  4 Te 2.80

Formation energy (no corrections) (eV per atom): -0.17

***

Record 14
DFT (PBE-GGA) results for crystalline HoZr5In3 at its relaxed geometry.

Lattice parameters (Å, degrees): 8.8603 8.8603 6.1513 90.00 90.00 120.00
Last column: nearest neighbours and their distance in Å.
Space group P6_3/mcm (No. 193)
Unique sites:
Ho 0.0000 0.0000 0.0000 [2 per cell]  2 Ho 3.08, 6 In 3.31, 6 Zr 3.40
Zr 0.0000 0.3428 0.2500 [6 per cell]  5 In 2.89-3.08
Zr 0.3333 0.6667 0.0000 [4 per cell]  8 Zr 3.08-3.29, 6 In 3.34
In 0.0000 0.3307 0.7500 [6 per cell]  5 Zr 2.89-3.08

Calculated formation energy (meV per atom): -233.2